# NaTcPt PBE optimized geometry
# Crystal system ... triclinic
# Density of states at the Fermi level ... 0.7993 states/eV/atom
# E ... -5.799 eV/atom
# Relative energy among the computed polymorphs ... 0.063 eV per atom
# ΔE_f ... 0.33 eV per formula unit
# SG ... No. 2
data_NaTcPt
_chemical_formula_sum 'Na2 Tc2 Pt2'
_cell_length_a 2.711
_cell_length_b 4.755
_cell_length_c 8.056
_cell_angle_alpha 77.01
_cell_angle_beta 87.21
_cell_angle_gamma 89.60
_symmetry_space_group_name_H-M 'P 1'
_symmetry_Int_Tables_number 1
_symmetry_space_group_name_Hall 'P 1'
loop_
_atom_site_label
_atom_site_type_symbol
_atom_site_fract_x
_atom_site_fract_y
_atom_site_fract_z
Na1 Na 0.243 0.380 0.188
Na2 Na 0.757 0.620 0.812
Tc1 Tc 0.172 0.774 0.444
Tc2 Tc 0.828 0.226 0.556
Pt1 Pt 0.268 0.103 0.849
Pt2 Pt 0.732 0.897 0.151